Entry from Alexandria via LeMat-Bulk: a relaxed structure of CeGe2H (GGA-PBE).

Output
* calculated volume: 18.53 Å³ per atom
* calculated total energy: -39.7 eV/cell
* N(E_F): 8.27 states/eV/cell

abc: 4.3368 6.1921 6.1921
angles: 116.96 90.00 90.00
With the nearest neighbours (Å) after each atom.
Element x y z (fractional)
Ce 0.2500 0.1429 0.8571  3 H 2.29-2.39
Ce 0.7500 0.8571 0.1429  3 H 2.29-2.39
Ge 0.2500 0.5846 0.7429  5 Ge 2.59-2.74, 1 H 2.79
Ge 0.2500 0.6229 0.3280  3 Ge 2.59-2.69
Ge 0.7500 0.3280 0.6229  3 Ge 2.59-2.69
Ge 0.7500 0.7429 0.5846  5 Ge 2.59-2.74, 1 H 2.79
H 0.2500 0.0287 0.1608  3 Ce 2.29-2.39
H 0.7500 0.1608 0.0287  3 Ce 2.29-2.39